1.
# KPI6

Crystalline KPI6 at its relaxed geometry (PBE-GGA, Alexandria via LeMat-Bulk).

The structure belongs to space group P-1 (No. 2); the cell edges are 6.599, 8.100 and 8.171 Å and the angles 68.18°, 68.26° and 68.52°. The distinct sites, in fractional coordinates, are K at (0.000, 0.000, 0.000), P at (0.500, 0.500, 0.500), I at (0.096, 0.703, 0.693), I at (0.280, 0.371, 0.381) and I at (0.497, 0.198, 0.810).

As for the formation energy without anion corrections: -0.253 eV/atom. The total energy comes out at -2.23 eV per atom.


2.
# Na2LiPdF6

Crystalline Na2LiPdF6 at its relaxed geometry (PBE-GGA, Alexandria via LeMat-Bulk).

The structure belongs to space group Fm-3m (No. 225); the cell edges are 8.035, 8.035 and 8.035 Å and the angles 90.00°, 90.00° and 90.00°. The distinct sites, in fractional coordinates, are Na at (0.250, 0.250, 0.250), Li at (0.000, 0.000, 0.000), Pd at (0.000, 0.000, 0.500) and F at (0.000, 0.000, 0.247).

The calculation puts the excess energy over the best structure of this formula in the dataset at 72 kJ/mol of formula units. As for the formation energy without anion corrections: -2.149 eV/atom. The total energy comes out at -4.25 eV per atom.


3.
# NpAgHg2

Crystalline NpAgHg2 at its relaxed geometry (PBE-GGA, Alexandria via LeMat-Bulk).

The structure belongs to space group P4/mmm (No. 123); the cell edges are 5.617, 5.617 and 2.956 Å and the angles 90.00°, 90.00° and 90.00°. The distinct sites, in fractional coordinates, are Np at (0.000, 0.000, 0.000), Ag at (0.500, 0.500, 0.000) and Hg at (0.000, 0.500, 0.500).

The formation energy comes out at 0.2400 eV per atom. The total energy comes out at -3.86 eV per atom.